{
  "formula": "NaPrDyMnO6",
  "functional": "PBE with a Hubbard U",
  "state": "optimized geometry",
  "final_energy_ev_per_atom": -6.990,
  "dos_ef_per_ev_atom": 0.31,
  "lattice_angstrom": [[-0.617, 3.258, 4.682], [-5.131, 2.215, 1.297], [-2.926, -1.991, 4.516]],
  "species": ["Na", "Pr", "Dy", "Mn", "O", "O", "O", "O", "O", "O"],
  "frac_coords": [[0.750, 0.750, 0.750], [0.250, 0.250, 0.250], [0.000, 0.000, 0.000], [0.500, 0.500, 0.500], [0.268, 0.732, 0.268], [0.732, 0.268, 0.732], [0.268, 0.732, 0.732], [0.732, 0.268, 0.268], [0.268, 0.268, 0.732], [0.732, 0.732, 0.268]]
}